Entry 1:
Below is an optimized crystal structure of K2MnRu, with properties calculated at the GGA-PBEsol level.

Cell and atoms, written as CIF:
```
data_K2MnRu
_chemical_formula_sum 'K2 Mn1 Ru1'
_symmetry_space_group_name_H-M 'P m m m'
_symmetry_Int_Tables_number 47
_symmetry_space_group_name_Hall '-P 2 2'
_cell_length_a 2.949
_cell_length_b 4.779
_cell_length_c 5.713
_cell_angle_alpha 90.00
_cell_angle_beta 90.00
_cell_angle_gamma 90.00
loop_
_atom_site_label
_atom_site_type_symbol
_atom_site_fract_x
_atom_site_fract_y
_atom_site_fract_z
K1 K 0.000 0.000 0.000
K2 K 0.500 0.500 0.000
Mn1 Mn 0.000 0.500 0.500
Ru1 Ru 0.500 0.000 0.500
```

Values from the calculation:
- VASP energy: -16.89 eV/cell

=====

Entry 2:
Below is an optimized crystal structure of KMnRu2, with properties calculated at the GGA-PBEsol level.

Cell and atoms, written as CIF:
```
data_KMnRu2
_chemical_formula_sum 'K1 Mn1 Ru2'
_symmetry_space_group_name_H-M 'P 4/m m m'
_symmetry_Int_Tables_number 123
_symmetry_space_group_name_Hall '-P 4 2'
_cell_length_a 5.052
_cell_length_b 5.052
_cell_length_c 2.542
_cell_angle_alpha 90.00
_cell_angle_beta 90.00
_cell_angle_gamma 90.00
loop_
_atom_site_label
_atom_site_type_symbol
_atom_site_fract_x
_atom_site_fract_y
_atom_site_fract_z
K1 K 0.000 0.000 0.000
Mn1 Mn 0.500 0.500 0.000
Ru1 Ru 0.000 0.500 0.500
```

Values from the calculation:
- ΔE to the lowest computed polymorph: 760 meV per atom

=====

Entry 3:
Below is an optimized crystal structure of KMn2Ru, with properties calculated at the GGA-PBEsol level.

Cell and atoms, written as CIF:
```
data_KMn2Ru
_chemical_formula_sum 'K1 Mn2 Ru1'
_symmetry_space_group_name_H-M 'P 4/m m m'
_symmetry_Int_Tables_number 123
_symmetry_space_group_name_Hall '-P 4 2'
_cell_length_a 3.044
_cell_length_b 3.044
_cell_length_c 8.367
_cell_angle_alpha 90.00
_cell_angle_beta 90.00
_cell_angle_gamma 90.00
loop_
_atom_site_label
_atom_site_type_symbol
_atom_site_fract_x
_atom_site_fract_y
_atom_site_fract_z
K1 K 0.000 0.000 0.000
Mn1 Mn 0.500 0.500 0.338
Ru1 Ru 0.000 0.000 0.500
```

Values from the calculation:
- ΔE to the lowest computed polymorph: 0 meV per atom

=====

Entry 4:
Below is an optimized crystal structure of KMn2Sb, with properties calculated at the GGA-PBEsol level.

Cell and atoms, written as CIF:
```
data_KMn2Sb
_chemical_formula_sum 'K3 Mn6 Sb3'
_symmetry_space_group_name_H-M 'R -3 m'
_symmetry_Int_Tables_number 166
_symmetry_space_group_name_Hall '-R 3 2"'
_cell_length_a 4.4444
_cell_length_b 4.4444
_cell_length_c 18.2188
_cell_angle_alpha 90.00
_cell_angle_beta 90.00
_cell_angle_gamma 120.00
loop_
_atom_site_label
_atom_site_type_symbol
_atom_site_fract_x
_atom_site_fract_y
_atom_site_fract_z
K1 K 0.0000 0.0000 0.0000
Mn1 Mn 0.0000 0.0000 0.1876
Sb1 Sb 0.0000 0.0000 0.5000
```

Values from the calculation:
- Raw formation energy: 1.8 eV per formula unit

=====

Entry 5:
Below is an optimized crystal structure of K2MnSb, with properties calculated at the GGA-PBEsol level.

Cell and atoms, written as CIF:
```
data_K2MnSb
_chemical_formula_sum 'K2 Mn1 Sb1'
_symmetry_space_group_name_H-M 'P 4/m m m'
_symmetry_Int_Tables_number 123
_symmetry_space_group_name_Hall '-P 4 2'
_cell_length_a 4.526
_cell_length_b 4.526
_cell_length_c 5.469
_cell_angle_alpha 90.00
_cell_angle_beta 90.00
_cell_angle_gamma 90.00
loop_
_atom_site_label
_atom_site_type_symbol
_atom_site_fract_x
_atom_site_fract_y
_atom_site_fract_z
K1 K 0.000 0.500 0.000
Mn1 Mn 0.000 0.000 0.500
Sb1 Sb 0.500 0.500 0.500
```

Values from the calculation:
- Raw formation energy: 1.4 eV per formula unit

=====

Entry 6:
Below is an optimized crystal structure of K2MnSb, with properties calculated at the GGA-PBEsol level.

Cell and atoms, written as CIF:
```
data_K2MnSb
_chemical_formula_sum 'K6 Mn3 Sb3'
_symmetry_space_group_name_H-M 'R 3 m'
_symmetry_Int_Tables_number 160
_symmetry_space_group_name_Hall 'R 3 -2"'
_cell_length_a 4.6411
_cell_length_b 4.6411
_cell_length_c 27.4974
_cell_angle_alpha 90.00
_cell_angle_beta 90.00
_cell_angle_gamma 120.00
loop_
_atom_site_label
_atom_site_type_symbol
_atom_site_fract_x
_atom_site_fract_y
_atom_site_fract_z
K1 K 0.0000 0.0000 0.0000
K2 K 0.0000 0.0000 0.1755
Mn1 Mn 0.0000 0.0000 0.4212
Sb1 Sb 0.0000 0.0000 0.7545
```

Values from the calculation:
- Raw formation energy: 0.3 eV per formula unit

=====

Entry 7:
Below is an optimized crystal structure of KMn2Sb, with properties calculated at the GGA-PBEsol level.

Cell and atoms, written as CIF:
```
data_KMn2Sb
_chemical_formula_sum 'K1 Mn2 Sb1'
_symmetry_space_group_name_H-M 'P 4/m m m'
_symmetry_Int_Tables_number 123
_symmetry_space_group_name_Hall '-P 4 2'
_cell_length_a 3.522
_cell_length_b 3.522
_cell_length_c 7.958
_cell_angle_alpha 90.00
_cell_angle_beta 90.00
_cell_angle_gamma 90.00
loop_
_atom_site_label
_atom_site_type_symbol
_atom_site_fract_x
_atom_site_fract_y
_atom_site_fract_z
K1 K 0.000 0.000 0.000
Mn1 Mn 0.500 0.500 0.341
Sb1 Sb 0.000 0.000 0.500
```

Values from the calculation:
- Raw formation energy: 2.8 eV per formula unit

=====

Entry 8:
Below is an optimized crystal structure of KMn2Sb, with properties calculated at the GGA-PBEsol level.

Cell and atoms, written as CIF:
```
data_KMn2Sb
_chemical_formula_sum 'K1 Mn2 Sb1'
_symmetry_space_group_name_H-M 'P m m 2'
_symmetry_Int_Tables_number 25
_symmetry_space_group_name_Hall 'P 2 -2'
_cell_length_a 3.263
_cell_length_b 3.275
_cell_length_c 8.105
_cell_angle_alpha 90.00
_cell_angle_beta 90.00
_cell_angle_gamma 90.00
loop_
_atom_site_label
_atom_site_type_symbol
_atom_site_fract_x
_atom_site_fract_y
_atom_site_fract_z
K1 K 0.000 0.000 0.000
Mn1 Mn 0.000 0.000 0.496
Mn2 Mn 0.500 0.500 0.335
Sb1 Sb 0.500 0.500 0.669
```

Values from the calculation:
- Raw formation energy: 1.8 eV per formula unit